Record 1
The following is a PBE calculation of a relaxed MoSeBr3 crystal, from Alexandria via LeMat-Bulk.

a = 5.050 Å, b = 5.050 Å, c = 5.050 Å
α = 90.00°, β = 90.00°, γ = 90.00°
Fractional positions:
Mo 0.000 0.000 0.000
Se 0.500 0.500 0.500
Br 0.000 0.000 0.500
Br 0.000 0.500 0.000
Br 0.500 0.000 0.000

The density of states at the Fermi level is 0.713 states/eV per atom. For the energy relative to the elements, uncorrected, the calculation gives 1.959 eV/f.u. The final energy is -3.47 eV per atom. The offset from the most stable computed form comes out at 4.40 eV per formula unit.



Record 2
The following is a PBE calculation of a relaxed Mo2SeBr crystal, from Alexandria via LeMat-Bulk.

a = 3.134 Å, b = 4.206 Å, c = 10.655 Å
α = 90.00°, β = 90.00°, γ = 90.00°
Fractional positions:
Mo 0.000 0.000 0.000
Mo 0.000 0.500 0.274
Mo 0.500 0.000 0.774
Mo 0.500 0.500 0.500
Se 0.000 0.500 0.699
Se 0.500 0.000 0.199
Br 0.000 0.000 0.462
Br 0.500 0.500 0.962

The density of states at the Fermi level is 1.119 states/eV per atom. For the energy relative to the elements, uncorrected, the calculation gives 2.127 eV/f.u. The final energy is -6.17 eV per atom. The offset from the most stable computed form comes out at 2.11 eV per formula unit.



Record 3
The following is a PBE calculation of a relaxed Mo2SeBr crystal, from Alexandria via LeMat-Bulk.

a = 3.348 Å, b = 5.108 Å, c = 9.841 Å
α = 90.00°, β = 90.00°, γ = 90.00°
Fractional positions:
Mo 0.000 0.000 0.000
Mo 0.000 0.500 0.192
Mo 0.500 0.000 0.192
Mo 0.500 0.500 0.000
Se 0.000 0.500 0.791
Se 0.500 0.000 0.791
Br 0.000 0.000 0.415
Br 0.500 0.500 0.415

The density of states at the Fermi level is 0.936 states/eV per atom. For the energy relative to the elements, uncorrected, the calculation gives 1.374 eV/f.u. The final energy is -6.36 eV per atom. The offset from the most stable computed form comes out at 1.35 eV per formula unit.



Record 4
The following is a PBE calculation of a relaxed MoSe2Br8 crystal, from Alexandria via LeMat-Bulk.

a = 7.387 Å, b = 7.755 Å, c = 8.287 Å
α = 85.92°, β = 63.97°, γ = 88.51°
Fractional positions:
Mo 0.000 0.000 0.000
Se 0.060 0.840 0.713
Se 0.940 0.160 0.287
Br 0.162 0.800 0.148
Br 0.248 0.283 0.246
Br 0.254 0.589 0.700
Br 0.340 0.113 0.776
Br 0.660 0.887 0.224
Br 0.746 0.411 0.300
Br 0.752 0.717 0.754
Br 0.838 0.200 0.852

The density of states at the Fermi level is 0.138 states/eV per atom. For the energy relative to the elements, uncorrected, the calculation gives -2.632 eV/f.u. The final energy is -3.07 eV per atom.